! AlCoRh SCAN PBEsol geometry; values from VASP
&SYSTEM
  ibrav = 0, nat = 3, ntyp = 3
/
ATOMIC_SPECIES
Al 26.98 Al.upf
Co 58.93 Co.upf
Rh 102.91 Rh.upf
ATOMIC_POSITIONS angstrom
Al 0.0000 0.0000 0.0000
Co 0.0000 2.3235 0.6124
Rh 2.0122 1.1617 1.6968
CELL_PARAMETERS angstrom
4.0244 0.0000 0.0000
-2.0122 3.4852 0.0000
0.0000 0.0000 2.6899
! Calculated formation energy   -502.4 meV/atom
! E   -20.112 eV per atom
! DOS(E_F)   0.556 states/eV/atom
! Magnetic moment   2.04 μB per formula unit

! Al2CoSbRh SCAN PBEsol geometry; values from VASP
&SYSTEM
  ibrav = 0, nat = 5, ntyp = 4
/
ATOMIC_SPECIES
Al 26.98 Al.upf
Co 58.93 Co.upf
Sb 121.76 Sb.upf
Rh 102.91 Rh.upf
ATOMIC_POSITIONS angstrom
Al 0.0000 2.1794 0.0000
Al 2.1794 0.0000 0.0000
Co 0.0000 0.0000 0.0000
Sb 0.0000 0.0000 2.2893
Rh 2.1794 2.1794 2.2893
CELL_PARAMETERS angstrom
4.3587 0.0000 0.0000
0.0000 4.3587 0.0000
0.0000 0.0000 4.5787
! E   -20.504 eV per atom
! DOS(E_F)   0.585 states/eV/atom
! Uncorrected formation energy   127 kJ/mol of formula units
! Magnetic moment   0.00 μB per formula unit

! AlCoRu2 SCAN PBEsol geometry; values from VASP
&SYSTEM
  ibrav = 0, nat = 8, ntyp = 3
/
ATOMIC_SPECIES
Al 26.98 Al.upf
Co 58.93 Co.upf
Ru 101.07 Ru.upf
ATOMIC_POSITIONS angstrom
Al 0.0000 0.0000 0.0000
Al 4.3261 1.3465 0.0000
Co 1.5324 0.0000 3.3457
Co 5.8584 1.3465 3.3457
Ru -0.3861 1.3465 2.2047
Ru 1.9874 1.3465 1.1931
Ru 3.9399 0.0000 2.2047
Ru 6.3134 0.0000 1.1931
CELL_PARAMETERS angstrom
8.6521 0.0000 0.0000
0.0000 2.6930 0.0000
-0.8588 0.0000 4.3076
! Calculated formation energy   -184.4 meV/atom
! E   -23.862 eV per atom
! DOS(E_F)   0.771 states/eV/atom
! Magnetic moment   1.87 μB per formula unit

! AlCo2Ru SCAN PBEsol geometry; values from VASP
&SYSTEM
  ibrav = 0, nat = 12, ntyp = 3
/
ATOMIC_SPECIES
Al 26.98 Al.upf
Co 58.93 Co.upf
Ru 101.07 Ru.upf
ATOMIC_POSITIONS angstrom
Al 0.0000 0.0000 0.0000
Al 0.0000 1.5209 15.9963
Al 1.3171 0.7604 7.9981
Co 0.0000 0.0000 11.8358
Co 0.0000 0.0000 17.9541
Co 0.0000 1.5209 3.8376
Co 0.0000 1.5209 9.9560
Co 1.3171 0.7604 1.9578
Co 1.3171 0.7604 19.8339
Ru 0.0000 0.0000 5.8690
Ru 0.0000 1.5209 21.8652
Ru 1.3171 0.7604 13.8671
CELL_PARAMETERS angstrom
2.6342 0.0000 0.0000
-1.3171 2.2813 0.0000
0.0000 0.0000 23.9944
! Calculated formation energy   -39.5 meV/atom
! E   -19.336 eV per atom
! DOS(E_F)   0.586 states/eV/atom
! Magnetic moment   4.15 μB per formula unit

! AlCoRu2 SCAN PBEsol geometry; values from VASP
&SYSTEM
  ibrav = 0, nat = 4, ntyp = 3
/
ATOMIC_SPECIES
Al 26.98 Al.upf
Co 58.93 Co.upf
Ru 101.07 Ru.upf
ATOMIC_POSITIONS angstrom
Al 0.0000 0.0000 0.0000
Co 1.3440 1.8039 1.1941
Ru 0.0000 0.0000 2.5241
Ru 1.3440 1.8039 3.7784
CELL_PARAMETERS angstrom
2.6881 0.0000 0.0000
0.0000 3.6077 0.0000
0.0000 0.0000 5.1952
! Calculated formation energy   -113.9 meV/atom
! E   -23.791 eV per atom
! DOS(E_F)   1.054 states/eV/atom
! Magnetic moment   0.00 μB per formula unit

! AlCoRu3 SCAN PBEsol geometry; values from VASP
&SYSTEM
  ibrav = 0, nat = 5, ntyp = 3
/
ATOMIC_SPECIES
Al 26.98 Al.upf
Co 58.93 Co.upf
Ru 101.07 Ru.upf
ATOMIC_POSITIONS angstrom
Al 0.0000 0.0000 0.0000
Co 2.1595 2.1595 2.1595
Ru 0.0000 2.1595 2.1595
Ru 2.1595 0.0000 2.1595
Ru 2.1595 2.1595 0.0000
CELL_PARAMETERS angstrom
4.3190 0.0000 0.0000
0.0000 4.3190 0.0000
0.0000 0.0000 4.3190
! Calculated formation energy   1220.1 meV/atom
! E   -24.687 eV per atom
! DOS(E_F)   1.114 states/eV/atom
! Magnetic moment   5.87 μB per formula unit

! AlCoRu2S SCAN PBEsol geometry; values from VASP
&SYSTEM
  ibrav = 0, nat = 5, ntyp = 4
/
ATOMIC_SPECIES
Al 26.98 Al.upf
Co 58.93 Co.upf
Ru 101.07 Ru.upf
S 32.06 S.upf
ATOMIC_POSITIONS angstrom
Al 0.0000 0.0000 0.0000
Co 2.1342 2.1342 0.0000
Ru 0.0000 2.1342 1.9809
Ru 2.1342 0.0000 1.9809
S 2.1342 2.1342 1.9809
CELL_PARAMETERS angstrom
4.2684 0.0000 0.0000
0.0000 4.2684 0.0000
0.0000 0.0000 3.9619
! E   -20.650 eV per atom
! DOS(E_F)   0.500 states/eV/atom
! Uncorrected formation energy   105 kJ/mol of formula units
! Magnetic moment   1.51 μB per formula unit

! Y3AlCoS7 SCAN PBEsol geometry; values from VASP
&SYSTEM
  ibrav = 0, nat = 24, ntyp = 4
/
ATOMIC_SPECIES
Y 88.91 Y.upf
Al 26.98 Al.upf
Co 58.93 Co.upf
S 32.06 S.upf
ATOMIC_POSITIONS angstrom
Y -2.1867 6.3709 0.0000
Y 0.2625 3.0381 0.0000
Y 2.7623 1.2917 3.0329
Y 1.9242 6.8255 0.0000
Y 4.4240 5.0792 3.0329
Y 6.8732 1.7464 3.0329
Al 0.0000 5.4115 3.4855
Al 4.6865 2.7058 0.4526
Co 0.0000 0.0000 0.9679
Co 0.0000 0.0000 4.0008
S -1.6580 4.2310 4.4043
S -3.1863 7.0969 2.4670
S 0.1336 1.8094 2.4670
S 1.6338 0.7890 5.4999
S 0.0000 5.4115 1.2688
S -0.1933 7.4376 4.4043
S 1.8513 4.5659 4.4043
S 2.8352 3.5514 1.3714
S 4.8798 0.6796 1.3714
S 4.6865 2.7058 4.3018
S 3.0527 7.3282 2.4670
S 4.5529 6.3078 5.4999
S 7.8728 1.0204 5.4999
S 6.3445 3.8862 1.3714
CELL_PARAMETERS angstrom
9.3730 0.0000 0.0000
-4.6865 8.1173 0.0000
0.0000 0.0000 6.0658
! E   -16.499 eV per atom
! DOS(E_F)   0.095 states/eV/atom
! Uncorrected formation energy   -2123 kJ/mol of formula units
! Magnetic moment   1.00 μB per formula unit

! AlCoSb4 SCAN PBEsol geometry; values from VASP
&SYSTEM
  ibrav = 0, nat = 6, ntyp = 3
/
ATOMIC_SPECIES
Al 26.98 Al.upf
Co 58.93 Co.upf
Sb 121.76 Sb.upf
ATOMIC_POSITIONS angstrom
Al 0.0000 0.0000 0.0000
Co 6.4217 6.4217 6.4217
Sb 3.2088 3.2088 3.2088
Sb 5.3534 5.3534 3.2088
Sb 5.3534 3.2088 5.3534
Sb 3.2088 5.3534 5.3534
CELL_PARAMETERS angstrom
0.0000 4.2811 4.2811
4.2811 0.0000 4.2811
4.2811 4.2811 0.0000
! E   -28.221 eV per atom
! DOS(E_F)   0.691 states/eV/atom
! Uncorrected formation energy   461 kJ/mol of formula units
! Magnetic moment   2.29 μB per formula unit

! AlCoSb SCAN PBEsol geometry; values from VASP
&SYSTEM
  ibrav = 0, nat = 6, ntyp = 3
/
ATOMIC_SPECIES
Al 26.98 Al.upf
Co 58.93 Co.upf
Sb 121.76 Sb.upf
ATOMIC_POSITIONS angstrom
Al 0.0000 0.0000 0.0000
Al 1.4752 1.4752 5.8492
Co 0.0000 0.0000 7.1795
Co 1.4752 1.4752 1.3303
Sb 0.0000 0.0000 3.0496
Sb 1.4752 1.4752 8.8988
CELL_PARAMETERS angstrom
2.9504 0.0000 0.0000
0.0000 2.9504 0.0000
0.0000 0.0000 11.6983
! E   -20.685 eV per atom
! DOS(E_F)   0.430 states/eV/atom
! Uncorrected formation energy   25 kJ/mol of formula units
! Magnetic moment   0.87 μB per formula unit

! YAlCo2Sb SCAN PBEsol geometry; values from VASP
&SYSTEM
  ibrav = 0, nat = 5, ntyp = 4
/
ATOMIC_SPECIES
Y 88.91 Y.upf
Al 26.98 Al.upf
Co 58.93 Co.upf
Sb 121.76 Sb.upf
ATOMIC_POSITIONS angstrom
Y 0.0000 0.0000 0.0000
Al 2.2918 2.2918 0.0000
Co 0.0000 2.2918 2.5428
Co 2.2918 0.0000 2.5428
Sb 2.2918 2.2918 2.5428
CELL_PARAMETERS angstrom
4.5837 0.0000 0.0000
0.0000 4.5837 0.0000
0.0000 0.0000 5.0857
! E   -20.917 eV per atom
! DOS(E_F)   0.454 states/eV/atom
! Uncorrected formation energy   278 kJ/mol of formula units
! Magnetic moment   2.71 μB per formula unit

! Sc2Al9Co3 SCAN PBEsol geometry; values from VASP
&SYSTEM
  ibrav = 0, nat = 28, ntyp = 3
/
ATOMIC_SPECIES
Sc 44.96 Sc.upf
Al 26.98 Al.upf
Co 58.93 Co.upf
ATOMIC_POSITIONS angstrom
Sc 4.2286 2.4231 6.7485
Sc 8.2244 2.4231 6.7485
Sc 4.2286 -2.4231 2.2495
Sc 8.2244 -2.4231 2.2495
Al 2.1233 1.1975 5.1642
Al 2.1233 1.1975 8.3328
Al 6.2265 2.7921 2.2495
Al 6.2265 1.2439 4.9265
Al 6.2265 1.2439 8.5705
Al 2.1233 -1.1975 0.6652
Al 2.1233 -1.1975 3.8338
Al 4.8396 0.3546 2.2495
Al 4.8396 -0.3546 6.7485
Al 7.6134 0.3546 2.2495
Al 7.6134 -0.3546 6.7485
Al 10.3297 1.1975 5.1642
Al 10.3297 1.1975 8.3328
Al 6.2265 -1.2439 0.4275
Al 6.2265 -1.2439 4.0715
Al 6.2265 -2.7921 6.7485
Al 10.3297 -1.1975 0.6652
Al 10.3297 -1.1975 3.8338
Co 0.0000 0.0000 0.0000
Co 0.0000 0.0000 4.4990
Co 4.0941 0.0000 0.0000
Co 4.0941 0.0000 4.4990
Co 8.3589 0.0000 0.0000
Co 8.3589 0.0000 4.4990
CELL_PARAMETERS angstrom
6.2265 -3.6364 0.0000
6.2265 3.6364 0.0000
0.0000 0.0000 8.9980
! Calculated formation energy   -572.9 meV/atom
! E   -11.298 eV per atom
! DOS(E_F)   0.448 states/eV/atom
! Magnetic moment   0.03 μB per formula unit

> Number 4 is which compound?

AlCo2Ru